! Cs2Zr2Mn, relaxed, DFT PBE; values from VASP
&SYSTEM
  ibrav = 0, nat = 10, ntyp = 3
/
ATOMIC_SPECIES
Cs 132.91 Cs.upf
Zr 91.22 Zr.upf
Mn 54.94 Mn.upf
CELL_PARAMETERS angstrom
4.5054 0.0000 0.0000
0.0000 4.5054 0.0000
0.0000 0.0000 17.9794
ATOMIC_POSITIONS crystal
Cs 0.0000 0.5000 0.2500
Cs 0.0000 0.5000 0.7500
Cs 0.5000 0.0000 0.2500
Cs 0.5000 0.0000 0.7500
Zr 0.0000 0.0000 0.0677
Zr 0.0000 0.0000 0.9323
Zr 0.5000 0.5000 0.4323
Zr 0.5000 0.5000 0.5677
Mn 0.0000 0.0000 0.5000
Mn 0.5000 0.5000 0.0000
! - formation energy from the elements (meV per atom) = 1471
! - total moment (μB/cell) = 8.0